MgNbB2Pd GGA-PBE relaxed; symmetry = P4/mmm (123); E_form = 1.11 eV/atom; theoretical density = 5.35 Mg/m³
1.0
-0.642 -0.571 -3.994
-0.570 -4.467 0.730
-4.002 0.602 0.557
Mg B Nb Pd
1 2 1 1
direct
0.000 0.500 0.000
0.500 0.000 0.000
0.000 0.000 0.500
0.500 0.500 0.500
0.000 0.000 0.000

---

Sc2BeC2 GGA-PBE relaxed; energy above the most stable polymorph in this dataset = 0 meV/atom; symmetry = Pnma (62); E_form = -0.37 eV/atom; theoretical density = 3.38 Mg/m³
1.0
4.735 0.000 0.000
0.000 6.568 0.000
0.000 0.000 7.771
C Sc Be
8 8 4
direct
0.250 0.643 0.584
0.250 0.022 0.336
0.250 0.522 0.164
0.250 0.143 0.916
0.750 0.978 0.664
0.750 0.478 0.836
0.750 0.857 0.084
0.750 0.357 0.416
0.750 0.030 0.346
0.250 0.864 0.082
0.750 0.636 0.582
0.250 0.364 0.418
0.250 0.970 0.654
0.750 0.136 0.918
0.750 0.530 0.154
0.250 0.470 0.846
0.250 0.748 0.378
0.750 0.752 0.878
0.250 0.248 0.122
0.750 0.252 0.622

---

What is the E_form in the first record?
1.11 eV/atom